1.
PBE Tl3CdNi, optimized geometry; energy relative to the elements = 888 meV per atom
1.0
-0.973 4.105 3.715
1.065 -3.563 4.216
5.433 1.434 -0.160
Cd Tl Ni
1 3 1
Cartesian
0.000 0.000 0.000 Cd
2.717 0.717 -0.080 Tl
-0.487 2.052 1.858 Tl
0.532 -1.782 2.108 Tl
2.762 0.988 3.885 Ni

=====

2.
PBE Na2Ge4PdAu3, optimized geometry; energy relative to the elements = -218 meV per atom
1.0
4.482 0.000 0.000
0.000 4.482 0.000
0.000 0.000 10.460
Na Au Ge Pd
2 3 4 1
Cartesian
2.241 0.000 2.691 Na
0.000 2.241 7.769 Na
0.000 2.241 1.450 Au
0.000 0.000 5.230 Au
2.241 0.000 9.010 Au
0.000 0.000 0.000 Ge
0.000 2.241 3.991 Ge
2.241 0.000 6.469 Ge
2.241 2.241 0.000 Ge
2.241 2.241 5.230 Pd

=====

3.
PBE Tl2CoHg, optimized geometry; energy relative to the elements = 421 meV per atom
1.0
9.201 -0.048 -0.028
8.577 3.331 -0.028
8.577 1.584 2.930
Tl Co Hg
2 1 1
Cartesian
25.992 4.800 2.834 Tl
13.539 2.500 1.476 Tl
6.589 1.217 0.718 Co
19.766 3.650 2.155 Hg

=====

4.
PBE Hf2VCr3, optimized geometry; energy relative to the elements = -107 meV per atom
1.0
4.445 -0.136 -2.346
-2.824 4.154 -0.206
-0.166 0.144 5.076
Cr V Hf
3 1 2
Cartesian
0.727 2.081 1.262 Cr
-0.083 0.072 2.538 Cr
2.139 0.004 1.365 Cr
0.000 0.000 0.000 V
-0.804 2.685 3.718 Hf
2.259 1.478 -1.194 Hf

=====

5.
PBE KS3F, optimized geometry; raw formation energy = 1048 meV/atom
1.0
-2.962 -4.989 1.260
4.432 -1.734 3.550
-2.616 2.711 4.589
F K S
1 1 3
Cartesian
-0.573 -2.006 4.700 F
0.000 0.000 0.000 K
-1.481 -2.495 0.630 S
-1.308 1.356 2.295 S
2.216 -0.867 1.775 S

=====

6.
PBE Zr5P2, optimized geometry; energy relative to the elements = -882 meV per atom
1.0
-5.011 2.234 -0.822
-1.550 -0.994 6.749
5.273 5.417 1.298
Zr P
10 4
Cartesian
-2.006 3.042 5.519 Zr
0.717 3.614 1.706 Zr
-3.043 0.092 4.753 Zr
-0.782 1.067 2.942 Zr
-0.507 5.589 4.283 Zr
-3.519 1.147 1.174 Zr
-5.303 2.240 5.702 Zr
0.944 2.670 5.245 Zr
-2.233 3.986 1.980 Zr
4.014 4.417 1.523 Zr
-3.694 2.343 3.523 P
2.405 4.314 3.702 P
-0.148 4.610 6.784 P
-1.141 2.047 0.440 P